# 1
PBE Pb2Au2Se, relaxed; space group = I4/mmm (139)
1.0
3.930 0.000 0.000
0.000 3.930 0.000
0.000 0.000 16.543
Pb Au Se
4 4 2
Direct
0.000 0.000 0.103
0.000 0.000 0.897
0.500 0.500 0.397
0.500 0.500 0.603
0.000 0.500 0.250
0.000 0.500 0.750
0.500 0.000 0.250
0.500 0.000 0.750
0.000 0.000 0.500
0.500 0.500 0.000

# 2
PBE Pb2Au2Se, relaxed; space group = P4/mbm (127)
1.0
7.629 0.000 0.000
0.000 7.629 0.000
0.000 0.000 4.255
Pb Au Se
4 4 2
Direct
0.170 0.330 0.000
0.330 0.830 0.000
0.670 0.170 0.000
0.830 0.670 0.000
0.132 0.632 0.500
0.368 0.132 0.500
0.632 0.868 0.500
0.868 0.368 0.500
0.000 0.000 0.500
0.500 0.500 0.500

# 3
PBE PbAu2Se, relaxed; space group = P4mm (99)
1.0
4.193 0.000 0.000
0.000 4.193 0.000
0.000 0.000 5.601
Pb Au Se
1 2 1
Direct
0.000 0.000 0.000
0.000 0.000 0.500
0.500 0.500 0.501
0.500 0.500 0.001

Computed magnetization (Bohr magnetons per cell) in order:
0.0 0.0 0.0
Computed formation energy (no corrections) (eV/atom) in order:
-0.13 -0.07 -0.02